Below is a relaxed structure of Dy2Ho3ErTm6, with properties calculated at the GGA-PBE level.

Values from the calculation:
Formation enthalpy at 0 K = 23 meV/atom
V = 30.27 A^3/atom

The structure in CIF format:
```
data_Dy2Ho3ErTm6
_chemical_formula_sum 'Dy4 Ho6 Er2 Tm12'
_symmetry_space_group_name_H-M 'C 1 2/m 1'
_symmetry_Int_Tables_number 12
_cell_length_a 6.0658
_cell_length_b 10.4926
_cell_length_c 11.5907
_cell_angle_alpha 90.00
_cell_angle_beta 100.02
_cell_angle_gamma 90.00
loop_
_symmetry_equiv_pos_as_xyz
'x,y,z'
'-x,-y,-z'
'-x,y,-z'
'x,-y,z'
'x+1/2,y+1/2,z'
'-x+1/2,-y+1/2,-z'
'-x+1/2,y+1/2,-z'
'x+1/2,-y+1/2,z'
loop_
_atom_site_label
_atom_site_type_symbol
_atom_site_fract_x
_atom_site_fract_y
_atom_site_fract_z
Dy1 Dy 0.0000 0.1666 0.0000
Ho1 Ho 0.0000 0.0000 0.5000
Ho2 Ho 0.0000 0.3333 0.5000
Er1 Er 0.0000 0.5000 0.0000
Tm1 Tm 0.2503 0.0000 0.2502
Tm2 Tm 0.2500 0.1666 0.7500
```

=====

Below is a relaxed structure of Y3Tl2Zn4, with properties calculated at the GGA-PBE level.

Values from the calculation:
Formation enthalpy at 0 K = -350 meV/atom
V = 22.41 A^3/atom

The structure in CIF format:
```
data_Y3Tl2Zn4
_chemical_formula_sum 'Y6 Tl4 Zn8'
_symmetry_space_group_name_H-M 'C 1 2/m 1'
_symmetry_Int_Tables_number 12
_cell_length_a 10.7759
_cell_length_b 4.6387
_cell_length_c 8.8249
_cell_angle_alpha 90.00
_cell_angle_beta 113.89
_cell_angle_gamma 90.00
loop_
_symmetry_equiv_pos_as_xyz
'x,y,z'
'-x,-y,-z'
'-x,y,-z'
'x,-y,z'
'x+1/2,y+1/2,z'
'-x+1/2,-y+1/2,-z'
'-x+1/2,y+1/2,-z'
'x+1/2,-y+1/2,z'
loop_
_atom_site_label
_atom_site_type_symbol
_atom_site_fract_x
_atom_site_fract_y
_atom_site_fract_z
Y1 Y 0.0000 0.0000 0.0000
Y2 Y 0.1638 0.5000 0.6739
Tl1 Tl 0.1149 0.5000 0.2774
Zn1 Zn 0.0636 0.0000 0.4084
Zn2 Zn 0.2229 0.5000 0.0409
```

=====

Below is a relaxed structure of LaTb4Pr2Th, with properties calculated at the GGA-PBE level.

Values from the calculation:
Formation enthalpy at 0 K = 25 meV/atom
V = 33.51 A^3/atom

The structure in CIF format:
```
data_LaTb4Pr2Th
_chemical_formula_sum 'La1 Tb4 Pr2 Th1'
_symmetry_space_group_name_H-M 'P 1 2/m 1'
_symmetry_Int_Tables_number 10
_cell_length_a 6.2982
_cell_length_b 3.6369
_cell_length_c 11.8937
_cell_angle_alpha 90.00
_cell_angle_beta 100.22
_cell_angle_gamma 90.00
loop_
_symmetry_equiv_pos_as_xyz
'x,y,z'
'-x,-y,-z'
'-x,y,-z'
'x,-y,z'
loop_
_atom_site_label
_atom_site_type_symbol
_atom_site_fract_x
_atom_site_fract_y
_atom_site_fract_z
La1 La 0.0000 0.0000 0.0000
Tb1 Tb 0.2431 0.0000 0.7435
Tb2 Tb 0.2459 0.5000 0.2524
Pr1 Pr 0.5000 0.0000 0.5000
Pr2 Pr 0.5000 0.5000 0.0000
Th1 Th 0.0000 0.5000 0.5000
```